The following is a DFT calculation (PBE) of V2SiW after structural relaxation.

Cell: 4.0949 4.0949 3.2889 Å, 90.00 90.00 90.00°
Last column: nearest neighbours and their distance in Å.
Space group P4/mmm (No. 123)
Asymmetric unit:
V: 0.0000 0.5000 0.0000 (multiplicity 2)  4 W 2.63, 4 Si 2.63, 4 V 2.90
Si: 0.0000 0.0000 0.5000 (multiplicity 1)  8 V 2.63, 4 W 2.90
W: 0.5000 0.5000 0.5000 (multiplicity 1)  8 V 2.63, 4 Si 2.90

Output
The uncorrected formation energy is -0.250 eV/atom.

---

The following is a DFT calculation (PBE) of DyLu2Pt after structural relaxation.

Cell: 3.7733 3.7733 27.7984 Å, 90.00 90.00 120.00°
Last column: nearest neighbours and their distance in Å.
Space group R-3m (No. 166, hexagonal axes)
Asymmetric unit:
Dy: 0.0000 0.0000 0.0000 (multiplicity 3)  6 Lu 3.66, 6 Dy 3.77
Lu: 0.0000 0.0000 0.2275 (multiplicity 6)  3 Pt 2.76
Pt: 0.0000 0.0000 0.5000 (multiplicity 3)  6 Lu 2.76

Output
The calculation puts the energy relative to the elements at -521 meV per atom. As for the distance to the lowest polymorph of the same formula: 119 meV per atom.

---

The following is a DFT calculation (PBE) of PmDy2Cu after structural relaxation.

Cell: 3.6135 3.6135 29.8641 Å, 90.00 90.00 120.00°
Last column: nearest neighbours and their distance in Å.
Space group R-3m (No. 166, hexagonal axes)
Asymmetric unit:
Pm: 0.0000 0.0000 0.0000 (multiplicity 3)  6 Pm 3.61, 6 Dy 3.64
Dy: 0.0000 0.0000 0.2335 (multiplicity 6)  3 Cu 2.89
Cu: 0.0000 0.0000 0.5000 (multiplicity 3)  6 Dy 2.89

Output
The calculation puts the energy relative to the elements at 30 meV per atom. As for the distance to the lowest polymorph of the same formula: 132 meV per atom.

---

The following is a DFT calculation (PBE) of Nd2P4PtRh3 after structural relaxation.

Cell: 4.2149 4.2149 9.5443 Å, 90.00 90.00 90.00°
Last column: nearest neighbours and their distance in Å.
Space group P-4m2 (No. 115)
Asymmetric unit:
Nd: 0.0000 0.5000 0.2415 (multiplicity 2)  8 P 3.12-3.19, 7 Rh 3.23-3.36, 2 Pt 3.24
P: 0.0000 0.0000 0.0000 (multiplicity 1)  4 Rh 2.36
P: 0.0000 0.5000 0.6404 (multiplicity 2)  3 Rh 2.38-2.50, 2 Pt 2.50
P: 0.5000 0.5000 0.0000 (multiplicity 1)  4 Rh 2.36
Pt: 0.0000 0.0000 0.5000 (multiplicity 1)  4 P 2.50
Rh: 0.0000 0.5000 0.8894 (multiplicity 2)  5 P 2.36-2.38
Rh: 0.5000 0.5000 0.5000 (multiplicity 1)  4 P 2.50

Output
The calculation puts the energy relative to the elements at -1069 meV per atom.

---

The following is a DFT calculation (PBE) of ZnHg3Cl8 after structural relaxation.

Cell: 13.7909 7.6498 7.6480 Å, 90.00 122.81 90.00°
Last column: nearest neighbours and their distance in Å.
Space group C2/m (No. 12)
Asymmetric unit:
Zn: 0.0000 0.0000 0.0000 (multiplicity 2)  6 Cl 2.50-2.57
Hg: 0.0000 0.5000 0.0000 (multiplicity 2)  6 Cl 2.68-2.81
Hg: 0.2500 0.2500 0.0000 (multiplicity 4)  6 Cl 2.64-2.84
Cl: 0.0056 0.2340 0.7783 (multiplicity 8)  1 Zn 2.50, 1 Hg 2.68
Cl: 0.2221 0.0000 0.2188 (multiplicity 4)  1 Zn 2.57, 2 Hg 2.70
Cl: 0.2424 0.5000 0.2309 (multiplicity 4)  3 Hg 2.64-2.81

Output
The uncorrected formation energy is -0.677 eV/atom.

---

The following is a DFT calculation (PBE) of HfTe2Au after structural relaxation.

Cell: 3.8227 3.8227 27.1937 Å, 90.00 90.00 120.00°
Last column: nearest neighbours and their distance in Å.
Space group R-3m (No. 166, hexagonal axes)
Asymmetric unit:
Hf: 0.0000 0.0000 0.0000 (multiplicity 3)  2 Te 2.75
Te: 0.0000 0.0000 0.1012 (multiplicity 6)  1 Hf 2.75, 3 Au 2.84
Au: 0.0000 0.0000 0.5000 (multiplicity 3)  6 Te 2.83-2.84

Output
The uncorrected formation energy is 0.353 eV/atom. As for the distance to the lowest polymorph of the same formula: 776 meV per atom.